Entry 1:
Here is a relaxed structure of Rb2BaInCl5 from Alexandria. Energies are from PBE.

```
Rb2BaInCl5
1.0
2.3358 -9.4418 0.0000
2.3358 9.4418 0.0000
0.0000 0.0000 16.6870
Rb Ba In Cl
4 2 2 10
Cartesian
2.3358 8.3116 8.3435
2.3358 6.6293 1.3931
2.3358 -6.6293 9.7366
2.3358 -8.3116 0.0000
2.3358 4.7114 14.1977
2.3358 -4.7114 5.8542
2.3358 0.8114 4.6052
2.3358 -0.8114 12.9487
2.3358 7.7269 14.8332
2.3358 4.8486 7.9846
2.3358 4.4911 3.8792
2.3358 1.6757 14.4145
2.3358 0.5172 10.1088
2.3358 -0.5172 1.7653
2.3358 -1.6757 6.0710
2.3358 -4.4911 12.2227
2.3358 -4.8486 16.3281
2.3358 -7.7269 6.4897
```

Calculated values
E_tot, eV/cell: -64.931
Space group: No. 36
Fermi-level density of states, states/eV/f.u.: 0.0
Uncorrected formation energy, meV/atom: -1848.4

Entry 2:
Here is a relaxed structure of ScBeIn2 from Alexandria. Energies are from PBE.

```
ScBeIn2
1.0
3.4928 0.0000 0.0000
0.0000 3.7875 0.0000
0.0000 0.0000 6.2515
Sc Be In
1 1 2
Cartesian
0.0000 0.0000 0.0000
1.7464 1.8938 1.4054
0.0000 0.0000 2.8544
1.7464 1.8938 4.6587
```

Calculated values
E_form, eV per atom: 0.129
E_tot, eV/cell: -15.019
Space group: No. 25
Fermi-level density of states, states/eV/f.u.: 3.3

Entry 3:
Here is a relaxed structure of AcPm3Dy3 from Alexandria. Energies are from PBE.

```
AcPm3Dy3
1.0
9.7847 0.0000 0.0000
-4.8923 8.4738 0.0000
0.0000 0.0000 5.8674
Ac Pm Dy
2 6 6
Cartesian
0.0000 5.6492 1.4668
4.8923 2.8246 4.4005
-1.3806 3.9898 4.4005
-0.7467 7.6745 4.4005
2.7650 3.1906 1.4668
2.1273 5.2832 4.4005
5.6391 0.7993 1.4668
6.2730 4.4839 1.4668
-0.7003 1.9480 1.4668
-2.8552 8.1063 1.4668
1.3368 1.5804 4.4005
3.5555 6.8933 1.4668
7.7476 0.3675 4.4005
5.5926 6.5258 4.4005
```

Calculated values
E_form, eV per atom: 0.039
E_tot, eV/cell: -63.789
Space group: No. 176
Fermi-level density of states, states/eV/f.u.: 11.8

Entry 4:
Here is a relaxed structure of La2Nd3SmS6 from Alexandria. Energies are from PBE.

```
La2Nd3SmS6
1.0
3.5393 -6.1438 0.0000
3.5393 6.1438 0.0000
-2.3697 0.0000 6.6623
La Nd Sm S
2 3 1 6
Cartesian
3.5393 4.1022 0.0000
3.5393 -4.1022 0.0000
-1.1849 0.0000 3.3312
2.3544 2.0642 3.3312
2.3544 -2.0642 3.3312
3.5393 0.0000 0.0000
0.0120 2.0164 4.9929
1.2174 0.0000 1.6843
0.0120 -2.0164 4.9929
4.6968 2.0164 1.6694
3.4914 0.0000 4.9780
4.6968 -2.0164 1.6694
```

Calculated values
E_tot, eV/cell: -78.573
Space group: No. 12
Fermi-level density of states, states/eV/f.u.: 5.6
Uncorrected formation energy, meV/atom: -2077.6

Entry 5:
Here is a relaxed structure of Pm2Ho3Ge4 from Alexandria. Energies are from PBE.

```
Pm2Ho3Ge4
1.0
7.9474 0.0000 0.0000
0.0000 7.8493 0.0000
-2.7792 0.0000 7.1204
Pm Ho Ge
4 6 8
Cartesian
1.3791 1.4175 0.4675
-0.0105 2.5072 4.0277
5.1787 5.3421 3.0927
3.7891 6.4319 6.6529
1.2598 5.2148 1.6687
-0.1298 6.5592 5.2289
2.5841 0.0000 3.5602
3.9737 3.9247 0.0000
5.2980 1.2901 1.8915
3.9085 2.6346 5.4517
-1.6265 4.2299 5.9343
-0.2369 7.5441 2.3741
1.4979 1.0264 6.1928
2.8874 2.8982 2.6326
2.2808 4.9511 4.4879
3.6704 6.8229 0.9277
5.4051 0.3053 4.7463
6.7947 3.6194 1.1861
```

Calculated values
E_form, eV per atom: -0.879
E_tot, eV/cell: -99.229
Space group: No. 14
Fermi-level density of states, states/eV/f.u.: 5.8

Entry 6:
Here is a relaxed structure of Si23Kr4 from Alexandria. Energies are from PBE.

```
Si23Kr4
1.0
10.3763 0.0000 0.0000
0.0000 10.3763 0.0000
0.0000 0.0000 10.3763
Si Kr
46 8
Cartesian
0.0000 1.2318 3.1808
0.0000 1.2318 7.1955
0.0000 2.5941 5.1881
0.0000 7.7822 5.1881
0.0000 9.1445 3.1808
0.0000 9.1445 7.1955
1.2318 3.1808 0.0000
1.2318 7.1955 0.0000
1.9143 1.9143 1.9143
1.9143 1.9143 8.4620
1.9143 8.4620 1.9143
1.9143 8.4620 8.4620
2.0074 3.9564 5.1881
2.0074 6.4199 5.1881
2.5941 5.1881 0.0000
3.1808 0.0000 1.2318
3.1808 0.0000 9.1445
3.2739 3.2739 3.2739
3.2739 3.2739 7.1024
3.2739 7.1024 3.2739
3.2739 7.1024 7.1024
3.9564 5.1881 2.0074
3.9564 5.1881 8.3689
5.1881 0.0000 2.5941
5.1881 0.0000 7.7822
5.1881 2.0074 3.9564
5.1881 2.0074 6.4199
5.1881 8.3689 3.9564
5.1881 8.3689 6.4199
6.4199 5.1881 2.0074
6.4199 5.1881 8.3689
7.1024 3.2739 3.2739
7.1024 3.2739 7.1024
7.1024 7.1024 3.2739
7.1024 7.1024 7.1024
7.1955 0.0000 1.2318
7.1955 0.0000 9.1445
7.7822 5.1881 0.0000
8.3689 3.9564 5.1881
8.3689 6.4199 5.1881
8.4620 1.9143 1.9143
8.4620 1.9143 8.4620
8.4620 8.4620 1.9143
8.4620 8.4620 8.4620
9.1445 3.1808 0.0000
9.1445 7.1955 0.0000
0.0000 0.0000 0.0000
0.0000 5.1881 2.5941
0.0000 5.1881 7.7822
2.5941 0.0000 5.1881
5.1881 2.5941 0.0000
5.1881 5.1881 5.1881
5.1881 7.7822 0.0000
7.7822 0.0000 5.1881
```

Calculated values
E_tot, eV/cell: -240.807
Space group: No. 223
Fermi-level density of states, states/eV/f.u.: 0.0
Uncorrected formation energy, meV/atom: 167.5